# 1
Entry from OQMD: a relaxed Dy2YTm2Lu2Fe2Te2 crystal (GGA-PBE).

Cell: 9.266 9.266 9.266 Å, 155.90 65.20 120.44°
Positions (direct):
Lu: 0.756 0.893 0.863
Dy: 0.086 0.737 0.349
Lu: 0.029 0.893 0.137
Te: 0.137 0.137 0.000
Tm: 0.417 0.103 0.314
Y: 0.478 0.478 0.000
Dy: 0.388 0.737 0.651
Tm: 0.788 0.103 0.686
Te: 0.745 0.245 0.500
Fe: 0.172 0.411 0.761
Fe: 0.649 0.411 0.239

E = -62.11 eV for the cell shown

---

# 2
Entry from OQMD: a relaxed PmNdSO2 crystal (GGA-PBE).

Cell: 3.942 3.942 6.782 Å, 90.00 90.00 120.00°
Positions (direct):
Pm: 0.667 0.333 0.719
O: 0.000 0.000 0.631
Nd: 0.000 0.000 0.279
O: 0.667 0.333 0.372
S: 0.333 0.667 0.998

E = -39.01 eV for the cell shown

---

# 3
Entry from OQMD: a relaxed PaSn2O4 crystal (GGA-PBE).

Cell: 7.116 7.116 7.116 Å, 120.00 90.01 120.00°
Positions (direct):
Sn: 0.375 0.250 0.625
Sn: 0.375 0.750 0.125
O: 0.626 0.251 0.877
O: 0.626 0.251 0.374
O: 0.627 0.751 0.876
Sn: 0.875 0.250 0.625
Pa: 0.000 0.000 0.000
O: 0.124 0.249 0.373
O: 0.124 0.751 0.876
Pa: 0.750 0.500 0.250
O: 0.124 0.249 0.876
O: 0.626 0.749 0.374
Sn: 0.375 0.750 0.625
O: 0.123 0.749 0.374

E = -96.11 eV for the cell shown

---

# 4
Entry from OQMD: a relaxed GdHoZr2P2 crystal (GGA-PBE).

Cell: 8.276 8.276 8.276 Å, 151.87 151.87 40.20°
Positions (direct):
P: 0.131 0.131 0.000
Gd: 0.321 0.321 0.000
Ho: 0.678 0.678 0.000
Zr: 0.000 0.500 0.500
P: 0.869 0.869 0.000
Zr: 0.500 0.000 0.500

E = -43.42 eV for the cell shown

---

# 5
Entry from OQMD: a relaxed ErAgS2 crystal (GGA-PBE).

Cell: 7.590 7.586 12.462 Å, 90.00 90.03 90.00°
Positions (direct):
S: 0.518 0.269 0.973
S: 0.773 0.980 0.216
Er: 0.248 0.501 0.004
S: 0.231 0.520 0.223
Ag: 0.001 0.244 0.815
S: 0.522 0.777 0.465
S: 0.272 0.026 0.285
S: 0.731 0.485 0.277
Ag: 0.999 0.744 0.185
S: 0.478 0.277 0.535
Ag: 0.768 0.994 0.435
Er: 0.502 0.253 0.754
Er: 0.252 0.005 0.504
Ag: 0.734 0.510 0.935
Er: 0.001 0.752 0.746
Er: 0.752 0.001 0.996
Ag: 0.499 0.261 0.316
Ag: 0.232 0.494 0.565
Ag: 0.266 0.010 0.065
S: 0.018 0.737 0.527
S: 0.982 0.237 0.473
Ag: 0.501 0.761 0.684
S: 0.269 0.985 0.723
S: 0.977 0.728 0.965
Er: 0.999 0.252 0.254
S: 0.023 0.228 0.035
S: 0.769 0.020 0.777
S: 0.227 0.480 0.784
Er: 0.748 0.505 0.496
S: 0.482 0.769 0.027
S: 0.728 0.526 0.715
Er: 0.498 0.753 0.246

E = -167.59 eV for the cell shown

---

# 6
Entry from OQMD: a relaxed Co3SnN crystal (GGA-PBE).

Cell: 7.058 7.058 7.058 Å, 60.00 60.00 60.00°
Positions (direct):
N: 0.125 0.125 0.625
Sn: 0.625 0.125 0.625
Sn: 0.625 0.625 0.625
N: 0.625 0.125 0.125
Co: 0.060 0.060 0.440
Co: 0.190 0.810 0.190
Co: 0.810 0.190 0.190
Co: 0.190 0.190 0.810
Co: 0.810 0.810 0.190
Co: 0.440 0.060 0.440
Co: 0.440 0.060 0.060
N: 0.125 0.125 0.125
Co: 0.190 0.810 0.810
Sn: 0.125 0.625 0.625
Co: 0.810 0.190 0.810
Co: 0.060 0.440 0.060
Sn: 0.625 0.625 0.125
Co: 0.440 0.440 0.060
N: 0.125 0.625 0.125
Co: 0.060 0.440 0.440

E = -136.51 eV for the cell shown

---

Q: The highest E belongs to which entry?
A: PmNdSO2